Entry a
# CSe3

A geometry-optimized CSe3 structure (PBE, the Alexandria database).

extended XYZ file:
```
8
Lattice="5.220 0.000 0.000 0.000 5.220 0.000 0.000 0.000 5.220" Properties=species:S:1:pos:R:3 pbc="T T T"
C 0.000 0.000 0.000
C 2.610 2.610 2.610
Se 0.000 1.305 2.610
Se 0.000 3.915 2.610
Se 1.305 2.610 0.000
Se 2.610 0.000 1.305
Se 2.610 0.000 3.915
Se 3.915 2.610 0.000
```



Entry b
# CSe3

A geometry-optimized CSe3 structure (PBE, the Alexandria database).

extended XYZ file:
```
4
Lattice="0.000 3.241 3.241 3.241 0.000 3.241 3.241 3.241 0.000" Properties=species:S:1:pos:R:3 pbc="T T T"
C 0.000 0.000 0.000
Se 1.621 1.621 1.621
Se 3.241 3.241 3.241
Se 4.862 4.862 4.862
```



Entry c
# CSe3

A geometry-optimized CSe3 structure (PBE, the Alexandria database).

extended XYZ file:
```
4
Lattice="3.444 1.988 2.627 -3.444 1.988 2.627 0.000 -3.976 2.627" Properties=species:S:1:pos:R:3 pbc="T T T"
C 0.000 0.000 0.000
Se -2.447 0.402 2.629
Se 0.876 -2.320 2.629
Se 1.572 1.918 2.629
```



Entry d
# CSe3

A geometry-optimized CSe3 structure (PBE, the Alexandria database).

extended XYZ file:
```
4
Lattice="4.375 -1.405 0.000 4.375 1.405 0.000 -1.512 0.000 6.973" Properties=species:S:1:pos:R:3 pbc="T T T"
C 0.000 0.000 0.000
Se 2.063 0.000 5.683
Se 3.619 0.000 3.487
Se 5.176 0.000 1.290
```



Most favorable first, least favorable last: entry c, entry d, entry b, entry a



Entry a
# C4Se

A geometry-optimized C4Se structure (PBE, the Alexandria database).

extended XYZ file:
```
5
Lattice="3.842 0.000 0.000 0.000 3.842 0.000 0.000 0.000 3.842" Properties=species:S:1:pos:R:3 pbc="T T T"
C 0.000 0.000 0.000
C 0.000 1.921 1.921
C 1.921 0.000 1.921
C 1.921 1.921 0.000
Se 1.921 1.921 1.921
```



Entry b
# C4Se

A geometry-optimized C4Se structure (PBE, the Alexandria database).

extended XYZ file:
```
5
Lattice="-2.397 2.397 2.397 2.397 -2.397 2.397 2.397 2.397 -2.397" Properties=species:S:1:pos:R:3 pbc="T T T"
C 1.199 1.199 -1.199
C 1.199 -1.199 1.199
C -1.199 1.199 1.199
C 1.199 1.199 1.199
Se 0.000 0.000 0.000
```



Most favorable first, least favorable last: entry b, entry a